(P)
Li2HgGe2 | meta-GGA SCAN | single point on PBEsol structure

The value obtained for the calculated volume is 183 Å³/cell.

The structure belongs to space group I4/mmm (No. 139); the cell edges are 3.9432, 3.9432 and 11.7563 Å and the angles 90.00°, 90.00° and 90.00°. The distinct sites, in fractional coordinates, are Li at (0.0000, 0.5000, 0.2500), Hg at (0.0000, 0.0000, 0.0000) and Ge at (0.0000, 0.0000, 0.4003).

(Q)
Li2HgGe2 | meta-GGA SCAN | single point on PBEsol structure

The value obtained for the calculated volume is 175 Å³/cell.

The structure belongs to space group P4/mbm (No. 127); the cell edges are 7.7563, 7.7563 and 2.9008 Å and the angles 90.00°, 90.00° and 90.00°. The distinct sites, in fractional coordinates, are Li at (0.1883, 0.3117, 0.0000), Hg at (0.0000, 0.0000, 0.5000) and Ge at (0.1131, 0.6131, 0.5000).

Relative calculated energies, zero for the most stable structure, unit meV per atom: (P) 169; (Q) 0.